! PmPrDyY PBE-GGA optimized geometry; values from VASP
! uncorrected energy	-20.52	eV/cell
! space-group type	I-4m2 (119)
! ΔH_f (0 K)	0.1	eV per formula unit
&SYSTEM
  ibrav = 0, nat = 4, ntyp = 4
/
ATOMIC_SPECIES
Pr 140.91 Pr.upf
Pm 145.00 Pm.upf
Y 88.91 Y.upf
Dy 162.50 Dy.upf
CELL_PARAMETERS angstrom
-2.436 3.877 -2.312
-2.012 -3.286 -3.390
-1.796 -0.994 5.915
ATOMIC_POSITIONS crystal
Pr 0.696 0.196 0.391
Pm 0.945 0.945 0.891
Y 0.446 0.446 0.891
Dy 0.196 0.696 0.391